TiCrP2, relaxed, DFT PBE-GGA; symmetry = No. 122; electronic total energy = -58.2 eV for the cell shown; ΔE_f = -0.195 eV per atom; ΔE to the lowest computed polymorph = 573 meV/atom
1.0
-2.730 2.730 5.439
2.730 -2.730 5.439
2.730 2.730 -5.439
Ti Cr P
2 2 4
Cartesian
0.000 0.000 0.000
0.000 2.730 2.720
2.730 0.000 2.720
0.000 0.000 5.439
1.365 -1.282 4.080
1.447 1.365 1.360
1.365 4.012 -1.360
1.282 1.365 6.799